# 1
{
  "formula": "TcSNF2",
  "functional": "PBEsol",
  "state": "optimized geometry",
  "cell": [[4.528, 0.000, 0.000], [0.000, 4.528, 0.000], [0.000, 0.000, 3.269]],
  "species": ["Tc", "S", "N", "F", "F"],
  "frac_coords": [[0.000, 0.000, 0.000], [0.500, 0.500, 0.500], [0.500, 0.500, 0.000], [0.000, 0.500, 0.500], [0.500, 0.000, 0.500]]
}

# 2
{
  "formula": "ZnSN2F",
  "functional": "PBEsol",
  "state": "optimized geometry",
  "cell": [[3.738, 0.000, 0.000], [0.000, 3.738, 0.000], [0.000, 0.000, 5.205]],
  "species": ["Zn", "S", "N", "N", "F"],
  "frac_coords": [[0.000, 0.000, 0.000], [0.000, 0.000, 0.500], [0.000, 0.500, 0.000], [0.500, 0.000, 0.000], [0.500, 0.500, 0.500]],
  "e_above_lowest_polymorph_ev_per_atom": 0.0000
}

# 3
{
  "formula": "ZnSN2F",
  "functional": "PBEsol",
  "state": "optimized geometry",
  "cell": [[3.575, 0.000, 0.000], [0.000, 3.575, 0.000], [0.000, 0.000, 6.243]],
  "species": ["Zn", "S", "N", "N", "F"],
  "frac_coords": [[0.000, 0.000, 0.000], [0.500, 0.500, 0.000], [0.000, 0.500, 0.500], [0.500, 0.000, 0.500], [0.500, 0.500, 0.500]],
  "e_above_lowest_polymorph_ev_per_atom": 0.3302
}

Formation energy (no corrections) in eV/atom, matching the order above: 0.56; 1.62; 1.95